Entry 1:
Computed, not measured: an optimized crystal structure of AcEr5Au6 at the PBE-GGA level of DFT.

Unit cell a=5.128 b=7.219 c=8.192 alpha=90.00 beta=108.47 gamma=90.00
Fractional positions:
Ac (0.000, 0.000, 0.000)
Au (0.824, 0.740, 0.649)
Au (0.824, 0.260, 0.649)
Au (0.500, 0.275, 0.000)
Au (0.500, 0.725, 0.000)
Au (0.176, 0.740, 0.351)
Au (0.176, 0.260, 0.351)
Er (0.665, 0.500, 0.330)
Er (0.329, 0.000, 0.659)
Er (0.000, 0.500, 0.000)
Er (0.671, 0.000, 0.341)
Er (0.335, 0.500, 0.670)

Values from the calculation:
Energy = -4.717 eV/atom
Mass density = 12961 kg/m³
ΔE_f = -0.84 eV per atom
Spin magnetization = 0.00 μB/f.u.



Entry 2:
Computed, not measured: an optimized crystal structure of AcEr3Au2 at the PBE-GGA level of DFT.

Unit cell a=4.980 b=7.422 c=9.065 alpha=90.00 beta=90.00 gamma=90.00
Fractional positions:
Ac (0.500, 0.514, 0.577)
Ac (0.500, 0.014, 0.423)
Er (0.000, 0.482, 0.931)
Er (0.000, 0.982, 0.069)
Er (0.500, 0.646, 0.163)
Er (0.500, 0.146, 0.837)
Er (0.000, 0.354, 0.316)
Er (0.000, 0.854, 0.684)
Au (0.500, 0.760, 0.860)
Au (0.500, 0.260, 0.140)
Au (0.000, 0.244, 0.664)
Au (0.000, 0.744, 0.336)

Values from the calculation:
Energy = -4.638 eV/atom
Mass density = 11129 kg/m³
ΔE_f = -0.58 eV per atom
Spin magnetization = 0.00 μB/f.u.